A plane-wave DFT calculation with PBE-GGA was carried out for a relaxed YAg3C crystal.

Values from the calculation:
Raw total energy in eV/cell: -12.85
Energy of formation from the pure elements in meV/atom: 2277
ΔE to the lowest computed polymorph in eV per atom: 1.687

Cell: 5.656 5.656 5.656 Å, 90.00 90.00 90.00°
Space group Pm-3m (No. 221)
Symmetry-distinct sites (fractional):
Y  0.000  0.000  0.000
Ag  0.000  0.000  0.500
C  0.500  0.500  0.500


A plane-wave DFT calculation with PBE-GGA was carried out for a relaxed Tl12Bi3Sb crystal.

Values from the calculation:
Formation energy (no corrections) in eV per atom: -0.02
Raw total energy in eV/cell: -44.48

Cell: 4.974 4.974 20.293 Å, 90.00 90.00 90.00°
Space group P4/mmm (No. 123)
Symmetry-distinct sites (fractional):
Tl  0.000  0.000  0.000
Tl  0.000  0.000  0.248
Tl  0.000  0.000  0.500
Tl  0.000  0.500  0.122
Tl  0.000  0.500  0.374
Bi  0.500  0.500  0.250
Bi  0.500  0.500  0.500
Sb  0.500  0.500  0.000


A plane-wave DFT calculation with PBE-GGA was carried out for a relaxed CdAgPd crystal.

Values from the calculation:
Raw total energy in eV/cell: -19.00
Energy of formation from the pure elements in meV/atom: -180
ΔE to the lowest computed polymorph in eV per atom: 0.047

Cell: 3.392 3.392 9.274 Å, 90.00 90.00 90.00°
Space group I4mm (No. 107)
Symmetry-distinct sites (fractional):
Cd  0.000  0.000  0.000
Ag  0.000  0.000  0.325
Pd  0.000  0.000  0.660


A plane-wave DFT calculation with PBE-GGA was carried out for a relaxed Hf2Al5Zn crystal.

Values from the calculation:
Raw total energy in eV/cell: -85.90
Energy of formation from the pure elements in meV/atom: -382

Cell: 5.773 11.523 4.069 Å, 90.00 90.00 90.00°
Space group Pbam (No. 55)
Symmetry-distinct sites (fractional):
Hf  0.245  0.127  0.000
Al  0.000  0.000  0.500
Al  0.002  0.748  0.500
Al  0.245  0.377  0.000
Zn  0.000  0.500  0.500


What is the raw total energy in the first record? -12.85 eV/cell


raw total energy of number 2 (Tl12Bi3Sb)? -44.48 eV/cell